(1)
{
  "formula": "PmY4Er2Tm2",
  "functional": "GGA-PBE",
  "state": "relaxed",
  "lattice_angstrom": [[9.295, -1.789, 0.000], [9.295, 1.789, 0.000], [-4.132, 0.000, 8.563]],
  "species": ["Pm", "Y", "Y", "Y", "Y", "Er", "Er", "Tm", "Tm"],
  "frac_coords": [[0.000, 0.000, 0.000], [0.186, 0.186, 0.334], [0.481, 0.481, 0.664], [0.519, 0.519, 0.336], [0.814, 0.814, 0.666], [0.149, 0.149, 0.668], [0.851, 0.851, 0.332], [0.332, 0.332, 0.001], [0.668, 0.668, 0.999]],
  "vol_a3_per_cell": 285,
  "formation_enthalpy_0k_ev_per_atom": 0.00,
  "total_magnetization_mub_per_cell": 0.00,
  "total_energy_ev_per_atom": -5.41
}

(2)
{
  "formula": "PmY2ErTm",
  "functional": "GGA-PBE",
  "state": "relaxed",
  "lattice_angstrom": [[4.186, -5.707, 0.000], [4.186, 5.707, 0.000], [0.000, 0.000, 7.224]],
  "species": ["Pm", "Pm", "Y", "Y", "Y", "Y", "Er", "Er", "Tm", "Tm"],
  "frac_coords": [[0.229, 0.771, 0.750], [0.771, 0.229, 0.250], [0.192, 0.192, 0.000], [0.192, 0.192, 0.500], [0.808, 0.808, 0.000], [0.808, 0.808, 0.500], [0.224, 0.776, 0.250], [0.776, 0.224, 0.750], [0.500, 0.500, 0.250], [0.500, 0.500, 0.750]],
  "vol_a3_per_cell": 345,
  "formation_enthalpy_0k_ev_per_atom": 0.39,
  "total_magnetization_mub_per_cell": 0.01,
  "total_energy_ev_per_atom": -4.96
}

(3)
{
  "formula": "Pm6YEr2Tm3",
  "functional": "GGA-PBE",
  "state": "relaxed",
  "lattice_angstrom": [[3.109, -5.383, 0.000], [3.109, 5.383, 0.000], [-2.064, 0.000, 11.562]],
  "species": ["Pm", "Pm", "Pm", "Pm", "Pm", "Pm", "Y", "Er", "Er", "Tm", "Tm", "Tm"],
  "frac_coords": [[0.082, 0.416, 0.249], [0.250, 0.250, 0.751], [0.416, 0.082, 0.249], [0.584, 0.918, 0.751], [0.750, 0.750, 0.249], [0.918, 0.584, 0.751], [0.500, 0.500, 0.500], [0.167, 0.833, 0.500], [0.833, 0.167, 0.500], [0.000, 0.000, 0.000], [0.333, 0.667, 0.000], [0.667, 0.333, 0.000]],
  "vol_a3_per_cell": 387,
  "formation_enthalpy_0k_ev_per_atom": 0.01,
  "total_magnetization_mub_per_cell": 0.00,
  "total_energy_ev_per_atom": -4.78
}

(4)
{
  "formula": "PmY6ErTm2",
  "functional": "GGA-PBE",
  "state": "relaxed",
  "lattice_angstrom": [[4.563, -7.452, 0.000], [4.563, 7.452, 0.000], [-1.421, 0.000, 9.522]],
  "species": ["Pm", "Pm", "Y", "Y", "Y", "Y", "Y", "Y", "Y", "Y", "Y", "Y", "Y", "Y", "Er", "Er", "Tm", "Tm", "Tm", "Tm"],
  "frac_coords": [[0.094, 0.906, 0.750], [0.906, 0.094, 0.250], [0.005, 0.795, 0.381], [0.072, 0.521, 0.182], [0.205, 0.995, 0.119], [0.254, 0.618, 0.556], [0.382, 0.746, 0.944], [0.479, 0.928, 0.318], [0.521, 0.072, 0.682], [0.618, 0.254, 0.056], [0.746, 0.382, 0.444], [0.795, 0.005, 0.881], [0.928, 0.479, 0.818], [0.995, 0.205, 0.619], [0.475, 0.525, 0.250], [0.525, 0.475, 0.750], [0.207, 0.307, 0.954], [0.307, 0.207, 0.454], [0.693, 0.793, 0.546], [0.793, 0.693, 0.046]],
  "vol_a3_per_cell": 647,
  "formation_enthalpy_0k_ev_per_atom": 0.12,
  "total_magnetization_mub_per_cell": 0.00,
  "total_energy_ev_per_atom": -5.58
}

(5)
{
  "formula": "Pm2Y4Er2Tm",
  "functional": "GGA-PBE",
  "state": "relaxed",
  "lattice_angstrom": [[9.348, -1.800, 0.000], [9.348, 1.800, 0.000], [-4.164, 0.000, 8.610]],
  "species": ["Pm", "Pm", "Y", "Y", "Y", "Y", "Er", "Er", "Tm"],
  "frac_coords": [[0.149, 0.149, 0.167], [0.851, 0.851, 0.833], [0.185, 0.185, 0.831], [0.482, 0.482, 0.170], [0.518, 0.518, 0.830], [0.815, 0.815, 0.169], [0.334, 0.334, 0.500], [0.666, 0.666, 0.500], [0.000, 0.000, 0.500]],
  "vol_a3_per_cell": 290,
  "formation_enthalpy_0k_ev_per_atom": 0.01,
  "total_magnetization_mub_per_cell": 0.00,
  "total_energy_ev_per_atom": -5.43
}

(6)
{
  "formula": "PmYEr5Tm2",
  "functional": "GGA-PBE",
  "state": "relaxed",
  "lattice_angstrom": [[2.777, -9.798, 0.000], [2.777, 9.798, 0.000], [0.000, 0.000, 10.552]],
  "species": ["Pm", "Pm", "Y", "Y", "Er", "Er", "Er", "Er", "Er", "Er", "Er", "Er", "Er", "Er", "Tm", "Tm", "Tm", "Tm"],
  "frac_coords": [[0.084, 0.916, 0.500], [0.916, 0.084, 0.000], [0.299, 0.701, 0.060], [0.701, 0.299, 0.560], [0.022, 0.978, 0.784], [0.110, 0.890, 0.070], [0.201, 0.799, 0.758], [0.217, 0.783, 0.357], [0.482, 0.518, 0.073], [0.518, 0.482, 0.573], [0.783, 0.217, 0.857], [0.799, 0.201, 0.258], [0.890, 0.110, 0.570], [0.978, 0.022, 0.284], [0.387, 0.613, 0.367], [0.390, 0.610, 0.784], [0.610, 0.390, 0.284], [0.613, 0.387, 0.867]],
  "vol_a3_per_cell": 574,
  "formation_enthalpy_0k_ev_per_atom": 0.16,
  "total_magnetization_mub_per_cell": 0.00,
  "total_energy_ev_per_atom": -4.61
}

(7)
{
  "formula": "Pm2Y5ErTm",
  "functional": "GGA-PBE",
  "state": "relaxed",
  "lattice_angstrom": [[-4.292, 4.292, 7.917], [4.292, -4.292, 7.917], [4.292, 4.292, -7.917]],
  "species": ["Pm", "Pm", "Pm", "Pm", "Y", "Y", "Y", "Y", "Y", "Y", "Y", "Y", "Y", "Y", "Er", "Er", "Tm", "Tm"],
  "frac_coords": [[0.118, 0.618, 0.735], [0.382, 0.118, 0.500], [0.618, 0.882, 0.500], [0.882, 0.382, 0.265], [0.000, 0.000, 0.000], [0.072, 0.148, 0.500], [0.148, 0.648, 0.076], [0.352, 0.428, 0.500], [0.428, 0.928, 0.076], [0.500, 0.500, 0.000], [0.572, 0.072, 0.924], [0.648, 0.572, 0.500], [0.852, 0.352, 0.924], [0.928, 0.852, 0.500], [0.250, 0.750, 0.500], [0.750, 0.250, 0.500], [0.250, 0.250, 0.000], [0.750, 0.750, 0.000]],
  "vol_a3_per_cell": 583,
  "formation_enthalpy_0k_ev_per_atom": 0.27,
  "total_magnetization_mub_per_cell": 0.00,
  "total_energy_ev_per_atom": -5.38
}

(8)
{
  "formula": "Pm6Y3ErTm2",
  "functional": "GGA-PBE",
  "state": "relaxed",
  "lattice_angstrom": [[3.119, -5.401, 0.000], [3.119, 5.401, 0.000], [-2.072, 0.000, 11.611]],
  "species": ["Pm", "Pm", "Pm", "Pm", "Pm", "Pm", "Y", "Y", "Y", "Er", "Tm", "Tm"],
  "frac_coords": [[0.084, 0.417, 0.752], [0.250, 0.250, 0.248], [0.417, 0.084, 0.752], [0.583, 0.916, 0.248], [0.750, 0.750, 0.752], [0.916, 0.583, 0.248], [0.000, 0.000, 0.500], [0.333, 0.667, 0.500], [0.667, 0.333, 0.500], [0.500, 0.500, 0.000], [0.167, 0.833, 0.000], [0.833, 0.167, 0.000]],
  "vol_a3_per_cell": 391,
  "formation_enthalpy_0k_ev_per_atom": 0.01,
  "total_magnetization_mub_per_cell": 0.00,
  "total_energy_ev_per_atom": -5.10
}